Entry 1:
The following is a DFT calculation (GGA-PBE) of La2Al4IrAu3 after structural relaxation.

Calculated values
space group = No. 115
volume = 20.537 Å³/atom
calculated total energy = -5.118 eV per atom

The structure in extended XYZ format:
```
10
Lattice="4.406 0.000 0.000 0.000 4.406 0.000 0.000 0.000 10.580" Properties=species:S:1:pos:R:3 pbc="T T T"
Al 0.000 0.000 0.000
Al 2.203 2.203 0.000
Al 0.000 2.203 3.995
Al 2.203 0.000 6.585
Au 0.000 2.203 1.423
Au 0.000 0.000 5.290
Au 2.203 0.000 9.157
La 0.000 2.203 7.888
La 2.203 0.000 2.692
Ir 2.203 2.203 5.290
```



Entry 2:
The following is a DFT calculation (GGA-PBE) of SnOsSeN2 after structural relaxation.

Calculated values
space group = No. 123
volume = 16.454 Å³/atom
formation energy without anion corrections = 0.59 eV/atom
energy relative to the lowest polymorph listed for this composition = 0 meV/atom

The structure in extended XYZ format:
```
5
Lattice="3.923 0.000 0.000 0.000 3.923 0.000 0.000 0.000 5.345" Properties=species:S:1:pos:R:3 pbc="T T T"
Sn 1.962 1.962 2.672
Os 0.000 0.000 0.000
N 0.000 1.962 0.000
N 1.962 0.000 0.000
Se 0.000 0.000 2.672
```



Entry 3:
The following is a DFT calculation (GGA-PBE) of AcPrSe2O8 after structural relaxation.

Calculated values
space group = No. 147
volume = 19.350 Å³/atom
formation energy without anion corrections = -1.69 eV/atom

The structure in extended XYZ format:
```
12
Lattice="5.956 0.000 0.000 -2.978 5.158 0.000 0.000 0.000 7.558" Properties=species:S:1:pos:R:3 pbc="T T T"
O 1.564 4.333 5.519
O -1.557 4.346 5.519
O -0.007 1.637 5.519
O 1.414 0.825 2.039
O 2.978 1.719 0.017
O 4.535 0.812 2.039
O 0.000 3.439 7.541
O 2.985 3.521 2.039
Se 0.000 3.439 5.867
Se 2.978 1.719 1.691
Ac 0.000 0.000 0.000
Pr 0.000 0.000 3.779
```



Repeat the third record exactly.
The following is a DFT calculation (GGA-PBE) of AcPrSe2O8 after structural relaxation.

Calculated values
space group = No. 147
volume = 19.350 Å³/atom
formation energy without anion corrections = -1.69 eV/atom

The structure in extended XYZ format:
```
12
Lattice="5.956 0.000 0.000 -2.978 5.158 0.000 0.000 0.000 7.558" Properties=species:S:1:pos:R:3 pbc="T T T"
O 1.564 4.333 5.519
O -1.557 4.346 5.519
O -0.007 1.637 5.519
O 1.414 0.825 2.039
O 2.978 1.719 0.017
O 4.535 0.812 2.039
O 0.000 3.439 7.541
O 2.985 3.521 2.039
Se 0.000 3.439 5.867
Se 2.978 1.719 1.691
Ac 0.000 0.000 0.000
Pr 0.000 0.000 3.779
```



Among the records above, which one has the highest volume? La2Al4IrAu3



What is the volume in the first record? 20.537 Å³/atom



Among the records above, which one has the lowest volume? SnOsSeN2